Below is a relaxed structure of RbGaHg2Pt, with properties calculated at the PBE level.

The structure in POSCAR format:
```
RbGaHg2Pt
1.0
5.434 0.000 0.000
0.000 5.434 0.000
0.000 0.000 4.866
Rb Ga Hg Pt
1 1 2 1
direct
0.000 0.000 0.000
0.500 0.500 0.000
0.000 0.500 0.500
0.500 0.000 0.500
0.500 0.500 0.500
```

## Properties
Formation energy   -305.6 meV/atom
Space group   P4/mmm (123)



Below is a relaxed structure of Na4ScIn3Se8, with properties calculated at the PBE level.

The structure in POSCAR format:
```
Na4ScIn3Se8
1.0
6.953 -4.015 0.000
6.953 4.015 0.000
-4.634 0.000 7.036
Na Sc In Se
4 1 3 8
direct
0.000 0.000 0.000
0.000 0.500 0.000
0.500 0.000 0.000
0.500 0.500 0.000
0.000 0.000 0.500
0.000 0.500 0.500
0.500 0.000 0.500
0.500 0.500 0.500
0.238 0.238 0.721
0.238 0.747 0.723
0.253 0.762 0.277
0.261 0.261 0.283
0.739 0.739 0.717
0.747 0.238 0.723
0.762 0.253 0.277
0.762 0.762 0.279
```

## Properties
Space group   C2/m (12)



Below is a relaxed structure of Ac2Ga2Ge3, with properties calculated at the PBE level.

The structure in POSCAR format:
```
Ac2Ga2Ge3
1.0
5.583 -2.397 0.000
5.583 2.397 0.000
-3.401 0.000 7.209
Ac Ga Ge
2 2 3
direct
0.075 0.075 0.293
0.925 0.925 0.707
0.310 0.310 0.124
0.690 0.690 0.876
0.225 0.225 0.742
0.500 0.500 0.000
0.775 0.775 0.258
```

## Properties
Energy above the lowest structure with this stoichiometry   124 meV per atom
Formation energy   -398.3 meV/atom
Space group   C2/m (12)



Below is a relaxed structure of KCr2Si, with properties calculated at the PBE level.

The structure in POSCAR format:
```
KCr2Si
1.0
3.181 -4.716 0.000
3.181 4.716 0.000
-1.244 0.000 2.687
K Cr Si
1 2 1
direct
0.000 0.000 0.000
0.000 0.500 0.500
0.500 0.000 0.500
0.500 0.500 0.000
```

## Properties
Space group   C2/m (12)



Below is a relaxed structure of CeSm3Ga4, with properties calculated at the PBE level.

The structure in POSCAR format:
```
CeSm3Ga4
1.0
3.629 0.000 0.000
0.000 3.629 0.000
0.000 0.000 14.750
Ce Sm Ga
1 3 4
direct
0.000 0.000 0.000
0.000 0.000 0.252
0.000 0.000 0.500
0.000 0.000 0.748
0.500 0.500 0.128
0.500 0.500 0.376
0.500 0.500 0.624
0.500 0.500 0.872
```

## Properties
Energy above the lowest structure with this stoichiometry   0 meV per atom
Formation energy   -541.0 meV/atom
Space group   P4/mmm (123)



Below is a relaxed structure of Fe3Pt2, with properties calculated at the PBE level.

The structure in POSCAR format:
```
Fe3Pt2
1.0
1.370 0.791 10.533
-1.370 0.791 10.533
0.000 -1.582 10.533
Fe Pt
3 2
direct
0.000 0.000 0.000
0.195 0.195 0.195
0.805 0.805 0.805
0.402 0.402 0.402
0.598 0.598 0.598
```

## Properties
Formation energy   -77.7 meV/atom
Space group   R-3m (166)



E values, unit eV per atom, following the record order: -2.433 -3.974 -4.416 -5.253 -4.566 -7.572.
Magnetic moment values, unit μB/cell, following the record order: 0.00 0.00 0.00 8.11 0.81 2.33.